Material: PmHg2Bi
Method: DFT, PBE-GGA
State: relaxed

DFT formation energy: -28.22 kJ/mol of atoms
Calculated volume: 27.5 A^3/atom

abc: 3.877 3.877 7.329
angles: 90.00 90.00 90.00
Sites, in units of the cell vectors:
Bi 0.500 0.500 0.000
Pm 0.500 0.500 0.500
Hg 0.000 0.000 0.250
Hg 0.000 0.000 0.750